(1)
Entry from OQMD via LeMat-Bulk: a geometry-optimized GdHoSi2Ir4 structure (PBE-GGA).

M_tot	0.00	μB/atom
electronic total energy	-62.0	eV for the cell shown

CIF file:
```
data_GdHoSi2Ir4
_space_group_name_H-M_alt 'P 1'
_space_group_IT_number 1
_cell_length_a 7.033
_cell_length_b 5.425
_cell_length_c 5.425
_cell_angle_alpha 41.25
_cell_angle_beta 90.00
_cell_angle_gamma 90.00
loop_
_space_group_symop_operation_xyz
'x,y,z'
loop_
_atom_site_label
_atom_site_fract_x
_atom_site_fract_y
_atom_site_fract_z
Gd1 0.000 0.442 0.442
Ho1 0.500 0.558 0.558
Ir1 0.202 0.146 0.146
Ir2 0.798 0.146 0.146
Ir3 0.300 0.854 0.854
Ir4 0.700 0.854 0.854
Si1 0.500 0.277 0.277
Si2 0.000 0.722 0.722
```



(2)
Entry from OQMD via LeMat-Bulk: a geometry-optimized GdHoSn2Ir structure (PBE-GGA).

M_tot	0.00	μB/atom
electronic total energy	-60.1	eV for the cell shown

CIF file:
```
data_GdHoSn2Ir
_space_group_name_H-M_alt 'P 1'
_space_group_IT_number 1
_cell_length_a 5.927
_cell_length_b 5.927
_cell_length_c 10.991
_cell_angle_alpha 114.10
_cell_angle_beta 114.10
_cell_angle_gamma 44.50
loop_
_space_group_symop_operation_xyz
'x,y,z'
loop_
_atom_site_label
_atom_site_fract_x
_atom_site_fract_y
_atom_site_fract_z
Gd1 0.004 0.004 0.174
Gd2 0.996 0.996 0.826
Ho1 0.814 0.814 0.370
Ho2 0.186 0.186 0.630
Ir1 0.278 0.278 0.177
Ir2 0.722 0.722 0.823
Sn1 0.656 0.656 0.047
Sn2 0.533 0.533 0.386
Sn3 0.467 0.467 0.614
Sn4 0.344 0.344 0.953
```